[1]
# SmSiPt3 PBE optimized geometry
data_SmSiPt3
_cell_length_a 4.088
_cell_length_b 4.088
_cell_length_c 5.500
_cell_angle_alpha 90.00
_cell_angle_beta 90.00
_cell_angle_gamma 90.00
_symmetry_space_group_name_H-M 'P 1'
_symmetry_Int_Tables_number 1
_symmetry_space_group_name_Hall 'P 1'
loop_
_atom_site_label
_atom_site_type_symbol
_atom_site_fract_x
_atom_site_fract_y
_atom_site_fract_z
_atom_site_occupancy
Sm1 Sm 0.000 0.000 0.000 1
Si1 Si 0.500 0.500 0.737 1
Pt1 Pt 0.000 0.500 0.506 1
Pt2 Pt 0.500 0.000 0.506 1
Pt3 Pt 0.500 0.500 0.153 1
# total DFT energy (no corrections)	-33.68	eV per cell
# symmetry	P4mm

=====

[2]
# Cs2Te2MoS PBE optimized geometry
data_Cs2Te2MoS
_cell_length_a 8.731
_cell_length_b 8.731
_cell_length_c 11.115
_cell_angle_alpha 123.16
_cell_angle_beta 123.16
_cell_angle_gamma 52.77
_symmetry_space_group_name_H-M 'P 1'
_symmetry_Int_Tables_number 1
_symmetry_space_group_name_Hall 'P 1'
loop_
_atom_site_label
_atom_site_type_symbol
_atom_site_fract_x
_atom_site_fract_y
_atom_site_fract_z
_atom_site_occupancy
Cs1 Cs 0.081 0.081 0.343 1
Cs2 Cs 0.299 0.299 0.189 1
Cs3 Cs 0.701 0.701 0.811 1
Cs4 Cs 0.919 0.919 0.657 1
Te1 Te 0.209 0.209 0.774 1
Te2 Te 0.393 0.393 0.608 1
Te3 Te 0.607 0.607 0.392 1
Te4 Te 0.791 0.791 0.226 1
Mo1 Mo 0.403 0.403 0.850 1
Mo2 Mo 0.597 0.597 0.150 1
S1 S 0.269 0.731 0.000 1
S2 S 0.731 0.269 0.000 1
# total DFT energy (no corrections)	-54.90	eV per cell
# symmetry	C2/m

=====

[3]
# Tb2GdMg3Tl3 PBE optimized geometry
data_Tb2GdMg3Tl3
_cell_length_a 4.676
_cell_length_b 7.553
_cell_length_c 7.553
_cell_angle_alpha 120.06
_cell_angle_beta 90.00
_cell_angle_gamma 90.00
_symmetry_space_group_name_H-M 'P 1'
_symmetry_Int_Tables_number 1
_symmetry_space_group_name_Hall 'P 1'
loop_
_atom_site_label
_atom_site_type_symbol
_atom_site_fract_x
_atom_site_fract_y
_atom_site_fract_z
_atom_site_occupancy
Tb1 Tb 0.000 0.216 0.784 1
Tb2 Tb 0.000 0.784 0.216 1
Gd1 Gd 0.000 0.352 0.352 1
Mg1 Mg 0.500 0.027 0.027 1
Mg2 Mg 0.500 0.541 0.784 1
Mg3 Mg 0.500 0.784 0.541 1
Tl1 Tl 0.000 0.784 0.784 1
Tl2 Tl 0.500 0.117 0.451 1
Tl3 Tl 0.500 0.451 0.117 1
# total DFT energy (no corrections)	-28.68	eV per cell
# symmetry	Amm2

=====

[4]
# Nd3Cd3Ga2Au PBE optimized geometry
data_Nd3Cd3Ga2Au
_cell_length_a 4.448
_cell_length_b 7.534
_cell_length_c 7.534
_cell_angle_alpha 120.01
_cell_angle_beta 90.00
_cell_angle_gamma 90.00
_symmetry_space_group_name_H-M 'P 1'
_symmetry_Int_Tables_number 1
_symmetry_space_group_name_Hall 'P 1'
loop_
_atom_site_label
_atom_site_type_symbol
_atom_site_fract_x
_atom_site_fract_y
_atom_site_fract_z
_atom_site_occupancy
Nd1 Nd 0.000 0.000 0.000 1
Nd2 Nd 0.000 0.412 0.824 1
Nd3 Nd 0.000 0.824 0.412 1
Cd1 Cd 0.500 0.161 0.412 1
Cd2 Cd 0.500 0.412 0.161 1
Cd3 Cd 0.500 0.663 0.663 1
Ga1 Ga 0.500 0.079 0.745 1
Ga2 Ga 0.500 0.745 0.079 1
Au1 Au 0.000 0.413 0.413 1
# total DFT energy (no corrections)	-31.49	eV per cell
# relative energy among the computed polymorphs	0.0	meV/atom
# symmetry	Amm2

=====

[5]
# BeReGeBi PBE optimized geometry
data_BeReGeBi
_cell_length_a 4.598
_cell_length_b 4.598
_cell_length_c 4.598
_cell_angle_alpha 60.00
_cell_angle_beta 60.00
_cell_angle_gamma 60.00
_symmetry_space_group_name_H-M 'P 1'
_symmetry_Int_Tables_number 1
_symmetry_space_group_name_Hall 'P 1'
loop_
_atom_site_label
_atom_site_type_symbol
_atom_site_fract_x
_atom_site_fract_y
_atom_site_fract_z
_atom_site_occupancy
Be1 Be 0.000 0.000 0.000 1
Re1 Re 0.500 0.500 0.500 1
Ge1 Ge 0.750 0.750 0.750 1
Bi1 Bi 0.250 0.250 0.250 1
# total DFT energy (no corrections)	-21.12	eV per cell
# relative energy among the computed polymorphs	0.0	meV/atom
# symmetry	F-43m

=====

[6]
# HoTm2NiSn3Ir2 PBE optimized geometry
data_HoTm2NiSn3Ir2
_cell_length_a 3.711
_cell_length_b 7.554
_cell_length_c 7.554
_cell_angle_alpha 120.14
_cell_angle_beta 90.00
_cell_angle_gamma 90.00
_symmetry_space_group_name_H-M 'P 1'
_symmetry_Int_Tables_number 1
_symmetry_space_group_name_Hall 'P 1'
loop_
_atom_site_label
_atom_site_type_symbol
_atom_site_fract_x
_atom_site_fract_y
_atom_site_fract_z
_atom_site_occupancy
Ho1 Ho 0.000 0.000 0.000 1
Tm1 Tm 0.000 0.407 0.813 1
Tm2 Tm 0.000 0.813 0.407 1
Ni1 Ni 0.000 0.408 0.408 1
Sn1 Sn 0.500 0.150 0.408 1
Sn2 Sn 0.500 0.408 0.150 1
Sn3 Sn 0.500 0.663 0.663 1
Ir1 Ir 0.500 0.074 0.738 1
Ir2 Ir 0.500 0.738 0.074 1
# total DFT energy (no corrections)	-56.04	eV per cell
# symmetry	Amm2